# Rb2PmNi3F12

A geometry-optimized Rb2PmNi3F12 structure (PBE+U, Alexandria).

Cell and atoms, written as POSCAR:
```
Rb2PmNi3F12
1.0
3.7152 2.1450 5.9048
-3.7152 2.1450 5.9048
0.0000 -4.2899 5.9048
Rb Pm Ni F
2 1 3 12
direct
0.1141 0.1141 0.1141
0.8859 0.8859 0.8859
0.5000 0.5000 0.5000
0.0000 0.5000 0.5000
0.5000 0.0000 0.5000
0.5000 0.5000 0.0000
0.1190 0.6101 0.6101
0.2118 0.2118 0.5957
0.2118 0.5957 0.2118
0.3899 0.3899 0.8810
0.3899 0.8810 0.3899
0.4043 0.7882 0.7882
0.5957 0.2118 0.2118
0.6101 0.1190 0.6101
0.6101 0.6101 0.1190
0.7882 0.4043 0.7882
0.7882 0.7882 0.4043
0.8810 0.3899 0.3899
```

Calculated values
**Space-group type**: R-3m
**Total magnetization**: 5.0 μB per cell
**N(E_F)**: 3.8 states/eV per cell
**Electronic total energy**: -84.4 eV/cell